P | PmHoSc2, relaxed, DFT PBE; M_tot = 0.00 μB/cell; crystal system = tetragonal
1.0
3.884 0.000 0.000
0.000 3.884 0.000
0.000 0.000 7.533
Pm Ho Sc
1 1 2
direct
0.000 0.000 0.000
0.000 0.000 0.500
0.500 0.500 0.256
0.500 0.500 0.744

=====

Q | PmHoSc2, relaxed, DFT PBE; M_tot = 0.00 μB/cell; crystal system = trigonal
1.0
1.727 0.997 11.006
-1.727 0.997 11.006
0.000 -1.994 11.006
Pm Ho Sc
1 1 2
direct
0.000 0.000 0.000
0.166 0.166 0.166
0.581 0.581 0.581
0.751 0.751 0.751

=====

Most stable: Q